Run 1
The following is a DFT calculation (PBE) of a geometry-optimized ReOsAu structure.

```
ReOsAu
1.0
-1.4260 1.4260 5.9041
1.4260 -1.4260 5.9041
1.4260 1.4260 -5.9041
Re Os Au
1 1 1
direct
0.0000 0.0000 0.0000 Re
0.3636 0.3636 0.0000 Os
0.6807 0.6807 0.0000 Au
```

Output
Volume (Å³ per cell): 48.02
SG: I4mm, No. 107

Run 2
The following is a DFT calculation (PBE) of a geometry-optimized ReOsAu structure.

```
ReOsAu
1.0
-1.4204 1.9168 4.2883
1.4204 -1.9168 4.2883
1.4204 1.9168 -4.2883
Re Os Au
1 1 1
direct
0.0000 0.0000 0.0000 Re
0.3590 0.3590 0.0000 Os
0.6793 0.6793 0.0000 Au
```

Output
Volume (Å³ per cell): 46.70
SG: Imm2, No. 44

We find run 1 to be the most stable, with the next structure 79 meV per atom higher.

Run 1
The following is a DFT calculation (PBE) of a geometry-optimized ReOs2Au structure.

```
ReOs2Au
1.0
2.7055 0.0000 0.0000
0.0000 4.7164 0.0000
-0.1421 0.0000 4.8764
Re Os Au
1 2 1
direct
0.0000 0.0000 0.0000 Re
0.2280 0.5000 0.7583 Os
0.7720 0.5000 0.2417 Os
0.5000 0.0000 0.5000 Au
```

Output
Volume (Å³ per cell): 62.22
SG: P2/m, No. 10

Run 2
The following is a DFT calculation (PBE) of a geometry-optimized ReOs2Au structure.

```
ReOs2Au
1.0
-1.9373 1.9373 4.0357
1.9373 -1.9373 4.0357
1.9373 1.9373 -4.0357
Re Os Au
1 2 1
direct
0.0000 0.0000 0.0000 Re
0.5000 0.5000 0.0000 Os
0.7500 0.2500 0.5000 Os
0.2500 0.7500 0.5000 Au
```

Output
Volume (Å³ per cell): 60.58
SG: I-4m2, No. 119

We find run 2 to be the most stable, with the next structure 206 meV per atom higher.

Run 1
The following is a DFT calculation (PBE) of a geometry-optimized OsRuAu2 structure.

```
OsRuAu2
1.0
-1.9900 1.9900 4.0036
1.9900 -1.9900 4.0036
1.9900 1.9900 -4.0036
Os Ru Au
1 1 2
direct
0.0000 0.0000 0.0000 Os
0.5000 0.5000 0.0000 Ru
0.2500 0.7500 0.5000 Au
0.7500 0.2500 0.5000 Au
```

Output
Volume (Å³ per cell): 63.42
SG: I4/mmm, No. 139

Run 2
The following is a DFT calculation (PBE) of a geometry-optimized OsRuAu2 structure.

```
OsRuAu2
1.0
2.8138 0.0000 0.0000
0.0000 2.8138 0.0000
0.0000 0.0000 8.1701
Os Ru Au
1 1 2
direct
0.0000 0.0000 0.0000 Os
0.5000 0.5000 0.1986 Ru
0.0000 0.0000 0.4612 Au
0.5000 0.5000 0.7376 Au
```

Output
Volume (Å³ per cell): 64.69
SG: P4mm, No. 99

We find run 2 to be the most stable, with the next structure 461 meV per atom higher.

Run 1
The following is a DFT calculation (PBE) of a geometry-optimized OsRuAu2 structure.

```
OsRuAu2
1.0
0.0000 3.1723 3.1723
3.1723 0.0000 3.1723
3.1723 3.1723 0.0000
Os Ru Au
1 1 2
direct
0.0000 0.0000 0.0000 Os
0.5000 0.5000 0.5000 Ru
0.2500 0.2500 0.2500 Au
0.7500 0.7500 0.7500 Au
```

Output
Volume (Å³ per cell): 63.85
SG: Fm-3m, No. 225

Run 2
The following is a DFT calculation (PBE) of a geometry-optimized OsRuAu2 structure.

```
OsRuAu2
1.0
1.3903 -2.3889 0.0000
1.3903 2.3889 0.0000
0.0000 0.0000 9.8411
Os Ru Au
1 1 2
direct
0.0000 0.0000 0.0000 Os
0.0000 0.0000 0.5000 Ru
0.5000 0.5000 0.2518 Au
0.5000 0.5000 0.7482 Au
```

Output
Volume (Å³ per cell): 65.37
SG: Cmmm, No. 65

Run 3
The following is a DFT calculation (PBE) of a geometry-optimized OsRuAu2 structure.

```
OsRuAu2
1.0
1.4037 0.8105 9.3118
-1.4037 0.8105 9.3118
0.0000 -1.6209 9.3118
Os Ru Au
1 1 2
direct
0.0000 0.0000 0.0000 Os
0.5000 0.5000 0.5000 Ru
0.2498 0.2498 0.2498 Au
0.7502 0.7502 0.7502 Au
```

Output
Volume (Å³ per cell): 63.56
SG: R-3m, No. 166

Run 4
The following is a DFT calculation (PBE) of a geometry-optimized OsRuAu2 structure.

```
OsRuAu2
1.0
4.7022 -1.3947 0.0000
4.7022 1.3947 0.0000
-0.8227 0.0000 4.8420
Os Ru Au
1 1 2
direct
0.0000 0.0000 0.0000 Os
0.5000 0.5000 0.5000 Ru
0.2511 0.2511 0.7502 Au
0.7489 0.7489 0.2498 Au
```

Output
Volume (Å³ per cell): 63.51
SG: C2/m, No. 12

We find run 3 to be the most stable, with the next structure 22 meV per atom higher.

Run 1
The following is a DFT calculation (PBE) of a geometry-optimized OsRuAu structure.

```
OsRuAu
1.0
0.0000 3.0146 3.0146
3.0146 0.0000 3.0146
3.0146 3.0146 0.0000
Os Ru Au
1 1 1
direct
0.0000 0.0000 0.0000 Os
0.7500 0.7500 0.7500 Ru
0.2500 0.2500 0.2500 Au
```

Output
Volume (Å³ per cell): 54.79
SG: F-43m, No. 216

Run 2
The following is a DFT calculation (PBE) of a geometry-optimized OsRuAu structure.

```
OsRuAu
1.0
-1.4073 1.9008 4.3095
1.4073 -1.9008 4.3095
1.4073 1.9008 -4.3095
Os Ru Au
1 1 1
direct
0.0000 0.0000 0.0000 Os
0.6353 0.6353 0.0000 Ru
0.3179 0.3179 0.0000 Au
```

Output
Volume (Å³ per cell): 46.11
SG: Imm2, No. 44

Run 3
The following is a DFT calculation (PBE) of a geometry-optimized OsRuAu structure.

```
OsRuAu
1.0
0.0000 2.3612 7.2675
1.3934 0.0000 7.2675
1.3934 2.3612 0.0000
Os Ru Au
1 1 1
direct
0.0000 0.0000 0.0000 Os
0.3523 0.3523 0.6477 Ru
0.6776 0.6776 0.3224 Au
```

Output
Volume (Å³ per cell): 47.82
SG: Fmm2, No. 42

Run 4
The following is a DFT calculation (PBE) of a geometry-optimized OsRuAu structure.

```
OsRuAu
1.0
-1.3998 1.3998 5.9382
1.3998 -1.3998 5.9382
1.3998 1.3998 -5.9382
Os Ru Au
1 1 1
direct
0.0000 0.0000 0.0000 Os
0.3617 0.3617 0.0000 Ru
0.6804 0.6804 0.0000 Au
```

Output
Volume (Å³ per cell): 46.54
SG: I4mm, No. 107

We find run 4 to be the most stable, with the next structure 98 meV per atom higher.

Run 1
The following is a DFT calculation (PBE) of a geometry-optimized Os3AuS structure.

```
Os3AuS
1.0
4.3576 0.0000 0.0000
0.0000 4.3576 0.0000
0.0000 0.0000 4.3576
Os Au S
3 1 1
direct
0.0000 0.0000 0.5000 Os
0.0000 0.5000 0.0000 Os
0.5000 0.0000 0.0000 Os
0.5000 0.5000 0.5000 Au
0.0000 0.0000 0.0000 S
```

Output
Volume (Å³ per cell): 82.74
SG: Pm-3m, No. 221

Run 2
The following is a DFT calculation (PBE) of a geometry-optimized Os3AuS structure.

```
Os3AuS
1.0
4.9254 0.0000 0.0000
0.0000 4.9254 0.0000
0.0000 0.0000 4.9254
Os Au S
3 1 1
direct
0.0000 0.0000 0.5000 Os
0.0000 0.5000 0.0000 Os
0.5000 0.0000 0.0000 Os
0.0000 0.0000 0.0000 Au
0.5000 0.5000 0.5000 S
```

Output
Volume (Å³ per cell): 119.49
SG: Pm-3m, No. 221

We find run 1 to be the most stable, with the next structure 2005 meV per atom higher.